Entry 1:
A relaxed LiLaCo2I crystal, computed with PBE.

Summary:
The energy comes out at -18.36 eV per cell. The calculation puts the density of states at the Fermi level at 5.105 states/eV per cell.

Lattice parameters (Å, degrees): 4.511 4.511 9.310 90.00 90.00 90.00
Atoms (fractional coordinates):
Li1 0.000 0.000 0.000
La1 0.000 0.000 0.500
Co1 0.000 0.500 0.500
Co2 0.500 0.000 0.500
I1 0.500 0.500 0.000


Entry 2:
A relaxed InPSe2N crystal, computed with PBE.

Summary:
The energy comes out at -21.60 eV per cell. The polymorph energy (0 for the lowest one) is 0.00 eV/f.u. The calculation puts the density of states at the Fermi level at 2.543 states/eV per cell.

Lattice parameters (Å, degrees): 5.287 5.287 3.293 90.00 90.00 90.00
Atoms (fractional coordinates):
In1 0.000 0.000 0.000
P1 0.500 0.500 0.500
Se1 0.000 0.500 0.500
Se2 0.500 0.000 0.500
N1 0.500 0.500 0.000